Computed, not measured: a crystal of BaFe2Si relaxed with PBEsol at the SCAN level of DFT.

```
4
Lattice="-0.481 -2.991 -0.917 1.574 0.971 -3.994 3.702 -1.673 3.514" Properties=species:S:1:pos:R:3 pbc="T T T"
Ba 1.851 -0.837 1.757
Fe 0.000 0.000 0.000
Fe 2.397 -1.846 -0.698
Si 0.546 -1.010 -2.455
```

**E**: -20.391 eV/atom
**Space group**: P2/m, No. 10
**E_form (uncorrected)**: 1.07 eV/atom
**DOS at the Fermi energy**: 3.0 states/eV/f.u.

---

Computed, not measured: a crystal of Cr2SiRu relaxed with PBEsol at the SCAN level of DFT.

```
4
Lattice="2.890 0.000 0.000 0.000 3.909 0.000 -1.445 -1.954 4.146" Properties=species:S:1:pos:R:3 pbc="T T T"
Ru 1.445 0.000 0.000
Si 0.000 1.954 0.000
Cr 1.445 1.954 2.033
Cr 0.000 0.000 2.113
```

**E**: -20.741 eV/atom
**Space group**: Immm, No. 71
**E_form (uncorrected)**: -0.34 eV/atom
**DOS at the Fermi energy**: 2.5 states/eV/f.u.